A) Crystalline PmYSc2 at its relaxed geometry, computed with GGA-PBE.

Lattice parameters (Å, degrees): 5.8272 4.9623 5.8279 64.79 50.40 64.82
With the nearest neighbours (Å) after each atom.
Sites, in units of the cell vectors:
Pm (0.3011, 0.7462, 0.9946)  8 Sc 3.40, 4 Y 3.51
Y (0.8011, 0.2462, 0.4946)  8 Sc 3.40, 4 Pm 3.51
Sc (0.0511, 0.4961, 0.7447)  4 Y 3.40, 4 Pm 3.40, 4 Sc 3.51
Sc (0.5511, 0.9961, 0.2446)  4 Y 3.40, 4 Pm 3.40, 4 Sc 3.51

## Properties
The density is 4.7 g/cm3. Its symmetry is I4/mmm. As for the total moment: 0.000 μB per atom. The calculation puts the volume at 114.6 Å³ per cell.

***

B) Crystalline PmYSc2 at its relaxed geometry, computed with GGA-PBE.

Lattice parameters (Å, degrees): 5.4566 5.4566 5.4566 60.00 60.00 60.00
With the nearest neighbours (Å) after each atom.
Sites, in units of the cell vectors:
Y (0.5000, 0.5000, 0.5000)  8 Sc 3.34
Sc (0.2500, 0.2500, 0.2500)  4 Pm 3.34, 4 Y 3.34
Sc (0.7500, 0.7500, 0.7500)  4 Pm 3.34, 4 Y 3.34
Pm (0.0000, 0.0000, 0.0000)  8 Sc 3.34

## Properties
The density is 4.7 g/cm3. Its symmetry is Fm-3m. As for the total moment: 0.000 μB per atom. The calculation puts the volume at 114.9 Å³ per cell.

***

C) Crystalline PmYSc2 at its relaxed geometry, computed with GGA-PBE.

Lattice parameters (Å, degrees): 3.4570 3.4570 11.2099 81.13 81.13 60.00
With the nearest neighbours (Å) after each atom.
Sites, in units of the cell vectors:
Y (0.5000, 0.5000, 0.5000)  6 Sc 3.39, 6 Y 3.46
Sc (0.7504, 0.7504, 0.7489)  3 Y 3.39, 3 Pm 3.41, 6 Sc 3.46
Sc (0.2496, 0.2496, 0.2511)  3 Y 3.39, 3 Pm 3.41, 6 Sc 3.46
Pm (0.0000, 0.0000, 0.0000)  6 Sc 3.41, 6 Pm 3.46

## Properties
The density is 4.7 g/cm3. Its symmetry is R-3m. As for the total moment: 0.000 μB per atom. The calculation puts the volume at 114.2 Å³ per cell.

***

A) wins, 12 meV per atom ahead of the next structure.